Compound: K2BeAs
Source: Alexandria via LeMat-Bulk
Functional: PBEsol
Structure: relaxed

Properties
distance to the lowest polymorph of the same formula	0	meV per atom
N(E_F)	0.486	states/eV per atom
total moment	0.00	μB per atom
energy of formation from the pure elements	0.4025	eV per atom
crystal system	tetragonal

abc: 5.201 5.201 5.201
angles: 119.95 119.95 90.09
Positions (direct):
K 0.000 0.000 0.000
K 0.750 0.250 0.500
Be 0.250 0.750 0.500
As 0.500 0.500 0.000